TlInTe: optimized geometry, GGA-PBE.

symmetry = F-43m (216)
raw formation energy = -0.15 eV per atom
crystal system = cubic
calculated volume = 39.634 A^3/atom
M_tot = 0.00 μB per formula unit

a b c (Å): 5.520 5.520 5.520
angles (deg): 60.00 60.00 60.00
Fractional coordinates of all 3 atoms:
Te 0.750 0.750 0.750
In 0.500 0.500 0.500
Tl 0.000 0.000 0.000



Tl3In12Te5: optimized geometry, GGA-PBE.

symmetry = Ia-3d (230)
DOS at the Fermi energy = 0.4917 states/eV/atom
raw formation energy = 0.01 eV per atom
crystal system = cubic
calculated volume = 37.568 A^3/atom
M_tot = 0.00 μB per formula unit

a b c (Å): 15.746 15.746 15.746
angles (deg): 109.47 109.47 109.47
Fractional coordinates of all 80 atoms:
Tl 0.375 0.625 0.250
Tl 0.125 0.875 0.750
Tl 0.875 0.750 0.125
Tl 0.750 0.875 0.625
Tl 0.125 0.250 0.875
Tl 0.875 0.125 0.250
Tl 0.250 0.625 0.875
Tl 0.625 0.250 0.375
Tl 0.750 0.375 0.125
Tl 0.375 0.750 0.625
Tl 0.625 0.375 0.750
Tl 0.250 0.125 0.375
Te 0.000 0.000 0.000
Te 0.125 0.375 0.250
Te 0.000 0.000 0.500
Te 0.375 0.125 0.750
Te 0.750 0.625 0.375
Te 0.625 0.750 0.875
Te 0.375 0.250 0.125
Te 0.750 0.125 0.875
Te 0.250 0.375 0.625
Te 0.000 0.500 0.500
Te 0.500 0.500 0.500
Te 0.875 0.625 0.750
Te 0.500 0.500 0.000
Te 0.250 0.875 0.125
Te 0.500 0.000 0.000
Te 0.625 0.875 0.250
Te 0.125 0.750 0.375
Te 0.500 0.000 0.500
Te 0.875 0.250 0.625
Te 0.000 0.500 0.000
In 0.232 0.668 0.089
In 0.065 0.644 0.732
In 0.832 0.911 0.268
In 0.732 0.144 0.065
In 0.579 0.935 0.668
In 0.411 0.268 0.332
In 0.144 0.732 0.565
In 0.732 0.589 0.168
In 0.421 0.065 0.332
In 0.644 0.579 0.911
In 0.332 0.768 0.411
In 0.668 0.435 0.579
In 0.144 0.411 0.079
In 0.421 0.356 0.589
In 0.089 0.168 0.232
In 0.644 0.065 0.232
In 0.565 0.232 0.144
In 0.356 0.935 0.768
In 0.856 0.589 0.921
In 0.332 0.565 0.421
In 0.089 0.921 0.356
In 0.268 0.411 0.832
In 0.911 0.832 0.768
In 0.411 0.144 0.579
In 0.768 0.332 0.911
In 0.079 0.168 0.435
In 0.668 0.232 0.589
In 0.935 0.579 0.168
In 0.589 0.732 0.668
In 0.565 0.332 0.921
In 0.935 0.356 0.268
In 0.168 0.079 0.935
In 0.435 0.768 0.856
In 0.911 0.079 0.644
In 0.232 0.565 0.644
In 0.268 0.856 0.935
In 0.435 0.668 0.079
In 0.579 0.644 0.411
In 0.356 0.421 0.089
In 0.768 0.435 0.356
In 0.921 0.832 0.565
In 0.832 0.921 0.065
In 0.065 0.421 0.832
In 0.168 0.089 0.732
In 0.921 0.089 0.856
In 0.856 0.268 0.435
In 0.589 0.856 0.421
In 0.079 0.911 0.144



Tl2InTe: optimized geometry, GGA-PBE.

symmetry = P2_1/m (11)
DOS at the Fermi energy = 0.2903 states/eV/atom
raw formation energy = -0.12 eV per atom
crystal system = monoclinic
calculated volume = 32.590 A^3/atom
M_tot = 0.00 μB per formula unit

a b c (Å): 4.707 5.205 10.828
angles (deg): 90.00 100.68 90.00
Fractional coordinates of all 8 atoms:
Tl 0.055 0.750 0.135
Tl 0.945 0.250 0.865
Tl 0.437 0.750 0.875
Tl 0.563 0.250 0.125
Te 0.822 0.750 0.647
Te 0.178 0.250 0.353
In 0.343 0.250 0.637
In 0.657 0.750 0.363



Tl2InTe: optimized geometry, GGA-PBE.

symmetry = R-3m (166)
DOS at the Fermi energy = 0.4356 states/eV/atom
raw formation energy = -0.06 eV per atom
crystal system = trigonal
calculated volume = 33.947 A^3/atom
M_tot = 0.00 μB per formula unit

a b c (Å): 8.554 8.554 8.554
angles (deg): 29.67 29.67 29.67
Fractional coordinates of all 4 atoms:
Tl 0.004 0.004 0.004
Tl 0.496 0.496 0.496
In 0.250 0.250 0.250
Te 0.750 0.750 0.750



- The lowest raw formation energy belongs to which entry?
  TlInTe



- What is the formula in the fourth record?
  Tl2InTe



- M_tot of number 3 (Tl2InTe)?
  0.00 μB per formula unit